Record 1
! K2NdCoO4 | the Alexandria database | PBE with a Hubbard U | optimized geometry; values from VASP
&SYSTEM
  ibrav = 0, nat = 8, ntyp = 4
/
ATOMIC_SPECIES
Nd 144.24 Nd.upf
O 16.00 O.upf
K 39.10 K.upf
Co 58.93 Co.upf
ATOMIC_POSITIONS angstrom
Nd 0.578 3.180 1.494
O 2.101 -0.928 3.748
K 0.000 0.000 0.000
Co 2.494 2.278 -1.368
O 3.673 2.695 0.011
K 3.375 -0.100 1.131
O 1.032 1.071 2.202
O 1.100 3.321 -0.710
CELL_PARAMETERS angstrom
-1.036 -1.477 5.362
5.292 -1.002 -1.731
-0.303 5.559 -1.005
! Raw total energy: -46.37 eV for the cell shown
! Volume: 136 Å³/cell

Record 2
! K3Nd3CoO8 | the Alexandria database | PBE with a Hubbard U | optimized geometry; values from VASP
&SYSTEM
  ibrav = 0, nat = 15, ntyp = 4
/
ATOMIC_SPECIES
Co 58.93 Co.upf
O 16.00 O.upf
Nd 144.24 Nd.upf
K 39.10 K.upf
ATOMIC_POSITIONS angstrom
Co 1.293 2.799 2.123
O 0.655 2.725 0.134
Nd -1.657 1.214 3.129
O -3.997 3.938 0.557
O -2.663 3.321 -1.854
K 0.000 0.000 0.000
O -0.953 5.508 -0.199
Nd -1.671 3.332 0.346
O 0.639 5.094 -2.981
O -3.982 1.569 3.672
O -2.389 1.155 0.891
K -2.950 -1.585 1.006
O -0.679 3.342 2.546
Nd 1.279 4.916 -0.661
K -2.964 0.533 -1.777
CELL_PARAMETERS angstrom
-0.028 4.234 -5.567
-5.901 -3.169 2.013
2.587 5.598 4.245
! Raw total energy: -94.35 eV for the cell shown
! Volume: 267 Å³/cell

Record 3
! KNd2CoO4 | the Alexandria database | PBE with a Hubbard U | optimized geometry; values from VASP
&SYSTEM
  ibrav = 0, nat = 16, ntyp = 4
/
ATOMIC_SPECIES
O 16.00 O.upf
Co 58.93 Co.upf
Nd 144.24 Nd.upf
K 39.10 K.upf
ATOMIC_POSITIONS angstrom
O 0.000 5.573 8.643
O 0.000 0.000 0.000
Co 1.876 3.266 8.643
Nd 0.000 4.831 10.766
O 0.000 3.127 4.676
K 1.876 5.632 2.881
Nd 1.876 1.651 0.759
Nd 0.000 4.831 6.521
K 0.000 0.849 8.643
O 1.876 3.355 10.438
Nd 1.876 1.651 5.003
O 0.000 3.127 1.086
O 1.876 3.355 6.849
O 1.876 0.908 2.881
O 0.000 0.000 5.762
Co 0.000 3.216 2.881
CELL_PARAMETERS angstrom
3.751 0.000 0.000
-1.876 6.481 0.000
0.000 0.000 11.525
! Raw total energy: -107.68 eV for the cell shown
! Volume: 280 Å³/cell

Record 4
! K3Nd2CoO6 | the Alexandria database | PBE with a Hubbard U | optimized geometry; values from VASP
&SYSTEM
  ibrav = 0, nat = 12, ntyp = 4
/
ATOMIC_SPECIES
K 39.10 K.upf
O 16.00 O.upf
Nd 144.24 Nd.upf
Co 58.93 Co.upf
ATOMIC_POSITIONS angstrom
K 0.981 2.757 4.228
O 0.305 1.274 1.647
K -1.533 -3.788 3.121
O -0.856 -2.305 5.702
O 0.235 0.534 6.182
Nd -3.101 -0.892 1.304
O -2.824 0.550 3.164
O -0.786 -1.565 1.167
Nd -1.884 2.276 1.840
O 2.272 -1.581 4.185
K -0.276 -0.515 3.674
Co 0.000 0.000 0.000
CELL_PARAMETERS angstrom
-0.652 5.481 2.382
-4.333 -4.097 0.762
4.434 -2.415 4.205
! Raw total energy: -71.89 eV for the cell shown
! Volume: 197 Å³/cell